[1]
SrZn2GaAg | the Alexandria database | GGA-PBE | relaxed; calculated volume = 108.9 Å³/cell; formation energy from the elements = -1.29 eV per formula unit; density = 6.04 g/cm³; density of states at the Fermi level = 2.5 states/eV/f.u.
1.0
-2.205 2.221 5.556
2.205 -2.221 5.556
2.205 2.221 -5.556
Sr Zn Ga Ag
1 2 1 1
direct
0.000 0.000 0.000
0.380 0.380 0.000
0.758 0.258 0.500
0.254 0.754 0.500
0.619 0.619 0.000

---

[2]
SrZnGa2Ag | the Alexandria database | GGA-PBE | relaxed; ΔE to the lowest computed polymorph = 0.000 eV/atom; calculated volume = 108.4 Å³/cell; formation energy from the elements = -1.67 eV per formula unit; density = 6.13 g/cm³; density of states at the Fermi level = 1.8 states/eV/f.u.
1.0
-2.234 2.234 5.428
2.234 -2.234 5.428
2.234 2.234 -5.428
Sr Zn Ga Ag
1 1 2 1
direct
0.000 0.000 0.000
0.750 0.250 0.500
0.381 0.381 0.000
0.619 0.619 0.000
0.250 0.750 0.500

---

[3]
Sr2Zn3GaAg4 | the Alexandria database | GGA-PBE | relaxed; calculated volume = 225.6 Å³/cell; formation energy from the elements = -2.30 eV per formula unit; density = 6.42 g/cm³; density of states at the Fermi level = 4.0 states/eV/f.u.
1.0
4.642 0.000 0.000
0.000 4.642 0.000
0.000 0.000 10.473
Sr Zn Ga Ag
2 3 1 4
direct
0.000 0.500 0.249
0.500 0.000 0.751
0.000 0.000 0.000
0.000 0.500 0.625
0.500 0.000 0.375
0.500 0.500 0.000
0.000 0.000 0.500
0.000 0.500 0.873
0.500 0.000 0.127
0.500 0.500 0.500

---

[4]
SrZnGa2Ag | the Alexandria database | GGA-PBE | relaxed; ΔE to the lowest computed polymorph = 0.282 eV/atom; calculated volume = 121.8 Å³/cell; formation energy from the elements = -0.26 eV per formula unit; density = 5.46 g/cm³; density of states at the Fermi level = 1.7 states/eV/f.u.
1.0
4.930 0.000 0.000
0.000 4.930 0.000
0.000 0.000 5.011
Sr Zn Ga Ag
1 1 2 1
direct
0.000 0.000 0.000
0.500 0.500 0.500
0.000 0.500 0.500
0.500 0.000 0.500
0.500 0.500 0.000

---

[5]
Sr3ZnGa2Ag6 | the Alexandria database | GGA-PBE | relaxed; calculated volume = 298.9 Å³/cell; formation energy from the elements = -1.66 eV per formula unit; density = 6.19 g/cm³; density of states at the Fermi level = 4.1 states/eV/f.u.
1.0
6.199 0.000 0.000
-3.100 5.369 0.000
0.000 0.000 8.982
Sr Zn Ga Ag
3 1 2 6
direct
0.000 0.000 0.000
0.333 0.667 0.622
0.667 0.333 0.378
0.000 0.000 0.500
0.333 0.667 0.031
0.667 0.333 0.969
0.176 0.352 0.286
0.176 0.824 0.286
0.352 0.176 0.714
0.648 0.824 0.286
0.824 0.176 0.714
0.824 0.648 0.714

---

[6]
Sr2Zn4GaAg3 | the Alexandria database | GGA-PBE | relaxed; calculated volume = 221.4 Å³/cell; formation energy from the elements = -2.35 eV per formula unit; density = 6.23 g/cm³; density of states at the Fermi level = 5.1 states/eV/f.u.
1.0
4.481 0.000 0.000
0.000 4.481 0.000
0.000 0.000 11.028
Sr Zn Ga Ag
2 4 1 3
direct
0.000 0.500 0.247
0.500 0.000 0.753
0.000 0.000 0.500
0.000 0.500 0.872
0.500 0.000 0.128
0.500 0.500 0.500
0.500 0.500 0.000
0.000 0.000 0.000
0.000 0.500 0.633
0.500 0.000 0.367

---

[7]
Sr2Zn4Ga3Ag | the Alexandria database | GGA-PBE | relaxed; calculated volume = 212.8 Å³/cell; formation energy from the elements = -3.07 eV per formula unit; density = 5.88 g/cm³; density of states at the Fermi level = 5.4 states/eV/f.u.
1.0
4.486 0.000 0.000
0.000 4.486 0.000
0.000 0.000 10.575
Sr Zn Ga Ag
2 4 3 1
direct
0.000 0.500 0.246
0.500 0.000 0.754
0.000 0.000 0.000
0.000 0.500 0.631
0.500 0.000 0.369
0.500 0.500 0.000
0.000 0.500 0.871
0.500 0.000 0.129
0.500 0.500 0.500
0.000 0.000 0.500

---

[8]
SrZnGaAg2 | the Alexandria database | GGA-PBE | relaxed; calculated volume = 113.0 Å³/cell; formation energy from the elements = -1.18 eV per formula unit; density = 6.44 g/cm³; density of states at the Fermi level = 2.3 states/eV/f.u.
1.0
-2.224 2.269 5.599
2.224 -2.269 5.599
2.224 2.269 -5.599
Sr Zn Ga Ag
1 1 1 2
direct
0.000 0.000 0.000
0.621 0.621 0.000
0.246 0.746 0.500
0.388 0.388 0.000
0.744 0.244 0.500

---

[9]
SrZr2GaAg | the Alexandria database | GGA-PBE | relaxed; calculated volume = 147.0 Å³/cell; formation energy from the elements = 8.49 eV per formula unit; density = 5.06 g/cm³; density of states at the Fermi level = 7.0 states/eV/f.u.
1.0
5.324 0.000 0.000
0.000 5.324 0.000
0.000 0.000 5.185
Sr Zr Ga Ag
1 2 1 1
direct
0.000 0.000 0.000
0.000 0.500 0.000
0.500 0.000 0.000
0.500 0.500 0.500
0.000 0.000 0.500

---

[10]
Ta2Ga2Ag | the Alexandria database | GGA-PBE | relaxed; calculated volume = 168.3 Å³/cell; formation energy from the elements = 0.38 eV per formula unit; density = 12.02 g/cm³; density of states at the Fermi level = 1.9 states/eV/f.u.
1.0
6.691 0.000 0.000
0.000 6.691 0.000
0.000 0.000 3.759
Ta Ga Ag
4 4 2
direct
0.175 0.325 0.000
0.325 0.825 0.000
0.675 0.175 0.000
0.825 0.675 0.000
0.128 0.628 0.500
0.372 0.128 0.500
0.628 0.872 0.500
0.872 0.372 0.500
0.000 0.000 0.500
0.500 0.500 0.500

---

[11]
Ta3GaAg | the Alexandria database | GGA-PBE | relaxed; ΔE to the lowest computed polymorph = 0.616 eV/atom; calculated volume = 116.3 Å³/cell; formation energy from the elements = 9.52 eV per formula unit; density = 10.29 g/cm³; density of states at the Fermi level = 7.1 states/eV/f.u.
1.0
4.881 0.000 0.000
0.000 4.881 0.000
0.000 0.000 4.881
Ta Ga Ag
3 1 1
direct
0.000 0.000 0.500
0.000 0.500 0.000
0.500 0.000 0.000
0.500 0.500 0.500
0.000 0.000 0.000

---

[12]
TaGa2Ag | the Alexandria database | GGA-PBE | relaxed; ΔE to the lowest computed polymorph = 0.360 eV/atom; calculated volume = 145.4 Å³/cell; formation energy from the elements = 1.32 eV per formula unit; density = 9.78 g/cm³; density of states at the Fermi level = 0.4 states/eV/f.u.
1.0
-3.539 3.539 2.902
3.539 -3.539 2.902
3.539 3.539 -2.902
Ta Ga Ag
2 4 2
direct
0.000 0.000 0.000
0.750 0.250 0.500
0.139 0.625 0.014
0.375 0.389 0.514
0.611 0.125 0.986
0.875 0.861 0.486
0.250 0.750 0.500
0.500 0.500 0.000

---

[13]
TaGaAg2 | the Alexandria database | GGA-PBE | relaxed; calculated volume = 149.8 Å³/cell; formation energy from the elements = 2.35 eV per formula unit; density = 10.34 g/cm³; density of states at the Fermi level = 2.9 states/eV/f.u.
1.0
-3.712 3.712 2.718
3.712 -3.712 2.718
3.712 3.712 -2.718
Ta Ga Ag
2 2 4
direct
0.000 0.000 0.000
0.750 0.250 0.500
0.250 0.750 0.500
0.500 0.500 0.000
0.147 0.625 0.022
0.375 0.397 0.522
0.603 0.125 0.978
0.875 0.853 0.478

---

[14]
TaGa2Ag | the Alexandria database | GGA-PBE | relaxed; ΔE to the lowest computed polymorph = 0.000 eV/atom; calculated volume = 67.7 Å³/cell; formation energy from the elements = -0.12 eV per formula unit; density = 10.51 g/cm³; density of states at the Fermi level = 1.1 states/eV/f.u.
1.0
2.862 0.000 0.000
0.000 2.862 0.000
0.000 0.000 8.266
Ta Ga Ag
1 2 1
direct
0.000 0.000 0.000
0.500 0.500 0.245
0.500 0.500 0.755
0.000 0.000 0.500

---

[15]
TaGa2Ag | the Alexandria database | GGA-PBE | relaxed; ΔE to the lowest computed polymorph = 0.277 eV/atom; calculated volume = 68.0 Å³/cell; formation energy from the elements = 0.99 eV per formula unit; density = 10.46 g/cm³; density of states at the Fermi level = 4.0 states/eV/f.u.
1.0
0.000 3.239 3.239
3.239 0.000 3.239
3.239 3.239 0.000
Ta Ga Ag
1 2 1
direct
0.000 0.000 0.000
0.250 0.250 0.250
0.750 0.750 0.750
0.500 0.500 0.500

---

[16]
TaGa2Ag | the Alexandria database | GGA-PBE | relaxed; ΔE to the lowest computed polymorph = 0.004 eV/atom; calculated volume = 66.2 Å³/cell; formation energy from the elements = -0.11 eV per formula unit; density = 10.74 g/cm³; density of states at the Fermi level = 1.1 states/eV/f.u.
1.0
4.181 0.000 0.000
0.000 4.181 0.000
0.000 0.000 3.788
Ta Ga Ag
1 2 1
direct
0.000 0.000 0.000
0.000 0.500 0.500
0.500 0.000 0.500
0.500 0.500 0.000

---

[17]
TaGa2Ag | the Alexandria database | GGA-PBE | relaxed; ΔE to the lowest computed polymorph = 0.105 eV/atom; calculated volume = 73.3 Å³/cell; formation energy from the elements = 0.30 eV per formula unit; density = 9.71 g/cm³; density of states at the Fermi level = 2.8 states/eV/f.u.
1.0
1.472 0.850 9.759
-1.472 0.850 9.759
0.000 -1.700 9.759
Ta Ga Ag
1 2 1
direct
0.000 0.000 0.000
0.411 0.411 0.411
0.589 0.589 0.589
0.500 0.500 0.500

---

[18]
TaGa2Ag2 | the Alexandria database | GGA-PBE | relaxed; calculated volume = 172.1 Å³/cell; formation energy from the elements = 0.93 eV per formula unit; density = 10.34 g/cm³; density of states at the Fermi level = 2.1 states/eV/f.u.
1.0
7.597 0.000 0.000
0.000 7.597 0.000
0.000 0.000 2.983
Ta Ga Ag
2 4 4
direct
0.000 0.000 0.000
0.500 0.500 0.000
0.157 0.343 0.000
0.343 0.843 0.000
0.657 0.157 0.000
0.843 0.657 0.000
0.143 0.643 0.500
0.357 0.143 0.500
0.643 0.857 0.500
0.857 0.357 0.500

---

[19]
TaGaAg2 | the Alexandria database | GGA-PBE | relaxed; calculated volume = 73.8 Å³/cell; formation energy from the elements = 1.45 eV per formula unit; density = 10.49 g/cm³; density of states at the Fermi level = 1.7 states/eV/f.u.
1.0
1.428 0.825 10.449
-1.428 0.825 10.449
0.000 -1.649 10.449
Ta Ga Ag
1 1 2
direct
0.000 0.000 0.000
0.500 0.500 0.500
0.089 0.089 0.089
0.911 0.911 0.911

---

[20]
Ta3GaAg | the Alexandria database | GGA-PBE | relaxed; ΔE to the lowest computed polymorph = 0.000 eV/atom; calculated volume = 105.7 Å³/cell; formation energy from the elements = 6.44 eV per formula unit; density = 11.32 g/cm³; density of states at the Fermi level = 8.8 states/eV/f.u.
1.0
4.727 0.000 0.000
0.000 4.727 0.000
0.000 0.000 4.727
Ta Ga Ag
3 1 1
direct
0.000 0.000 0.500
0.000 0.500 0.000
0.500 0.000 0.000
0.000 0.000 0.000
0.500 0.500 0.500